## Cr5Hg3O12 (PBE with a Hubbard U)

Data for a geometry-optimized Cr5Hg3O12 structure.

abc: 10.9436 10.9436 10.9436
angles: 109.47 109.47 109.47
Last column: nearest neighbours and their distance in Å.
Element x y z (fractional)
O (0.5125, 0.3165, 0.8983)  2 Cr 1.81-2.02
O (0.4182, 0.1142, 0.6017)  2 Cr 1.81-2.02
O (0.0125, 0.6142, 0.6960)  2 Cr 1.81-2.02
O (0.9875, 0.3858, 0.3040)  2 Cr 1.81-2.02
O (0.8040, 0.4875, 0.3858)  2 Cr 1.81-2.02
O (0.8983, 0.0818, 0.8858)  2 Cr 1.81-2.02
O (0.1960, 0.5125, 0.6142)  2 Cr 1.81-2.02
O (0.4875, 0.8040, 0.8858)  2 Cr 1.81-2.02
O (0.5125, 0.1960, 0.1142)  2 Cr 1.81-2.02
O (0.8165, 0.8983, 0.0125)  2 Cr 1.81-2.02
O (0.3040, 0.4182, 0.8165)  2 Cr 1.81-2.02
O (0.6960, 0.5818, 0.1835)  2 Cr 1.81-2.02
O (0.3983, 0.0125, 0.3165)  2 Cr 1.81-2.02
O (0.9182, 0.8165, 0.8040)  2 Cr 1.81-2.02
O (0.8983, 0.8165, 0.5125)  2 Cr 1.81-2.02
O (0.3983, 0.3858, 0.5818)  2 Cr 1.81-2.02
O (0.6960, 0.1142, 0.0125)  2 Cr 1.81-2.02
O (0.3165, 0.8040, 0.4182)  2 Cr 1.81-2.02
O (0.8858, 0.3040, 0.4875)  2 Cr 1.81-2.02
O (0.0818, 0.1835, 0.1960)  2 Cr 1.81-2.02
O (0.9182, 0.1017, 0.6142)  2 Cr 1.81-2.02
O (0.6142, 0.0125, 0.1960)  2 Cr 1.81-2.02
O (0.8165, 0.9182, 0.3040)  2 Cr 1.81-2.02
O (0.6142, 0.6017, 0.9182)  2 Cr 1.81-2.02
O (0.6017, 0.9875, 0.6835)  2 Cr 1.81-2.02
O (0.9875, 0.6017, 0.1835)  2 Cr 1.81-2.02
O (0.0125, 0.3983, 0.8165)  2 Cr 1.81-2.02
O (0.1835, 0.1017, 0.9875)  2 Cr 1.81-2.02
O (0.1835, 0.0818, 0.6960)  2 Cr 1.81-2.02
O (0.8858, 0.5818, 0.8983)  2 Cr 1.81-2.02
O (0.4875, 0.6835, 0.1017)  2 Cr 1.81-2.02
O (0.1142, 0.4182, 0.1017)  2 Cr 1.81-2.02
O (0.3165, 0.5125, 0.3983)  2 Cr 1.81-2.02
O (0.1017, 0.9182, 0.1142)  2 Cr 1.81-2.02
O (0.0818, 0.8983, 0.3858)  2 Cr 1.81-2.02
O (0.1142, 0.6960, 0.5125)  2 Cr 1.81-2.02
O (0.8040, 0.3165, 0.9182)  2 Cr 1.81-2.02
O (0.4182, 0.3040, 0.3165)  2 Cr 1.81-2.02
O (0.1960, 0.6835, 0.0818)  2 Cr 1.81-2.02
O (0.3858, 0.9875, 0.8040)  2 Cr 1.81-2.02
O (0.5818, 0.6960, 0.6835)  2 Cr 1.81-2.02
O (0.6835, 0.1960, 0.5818)  2 Cr 1.81-2.02
O (0.6835, 0.4875, 0.6017)  2 Cr 1.81-2.02
O (0.6017, 0.6142, 0.4182)  2 Cr 1.81-2.02
O (0.3858, 0.3983, 0.0818)  2 Cr 1.81-2.02
O (0.5818, 0.8858, 0.3983)  2 Cr 1.81-2.02
O (0.1017, 0.1835, 0.4875)  2 Cr 1.81-2.02
O (0.3040, 0.8858, 0.9875)  2 Cr 1.81-2.02
Hg (0.8750, 0.7500, 0.1250)  8 O 2.46-2.62
Hg (0.2500, 0.1250, 0.3750)  8 O 2.46-2.62
Hg (0.6250, 0.3750, 0.7500)  8 O 2.46-2.62
Hg (0.3750, 0.7500, 0.6250)  8 O 2.46-2.62
Hg (0.7500, 0.8750, 0.6250)  8 O 2.46-2.62
Hg (0.2500, 0.6250, 0.8750)  8 O 2.46-2.62
Hg (0.6250, 0.2500, 0.3750)  8 O 2.46-2.62
Hg (0.8750, 0.1250, 0.2500)  8 O 2.46-2.62
Hg (0.1250, 0.2500, 0.8750)  8 O 2.46-2.62
Hg (0.7500, 0.3750, 0.1250)  8 O 2.46-2.62
Hg (0.3750, 0.6250, 0.2500)  8 O 2.46-2.62
Hg (0.1250, 0.8750, 0.7500)  8 O 2.46-2.62
Cr (0.0000, 0.0000, 0.5000)  6 O 2.02
Cr (0.0000, 0.5000, 0.0000)  6 O 2.02
Cr (0.5000, 0.0000, 0.5000)  6 O 2.02
Cr (0.7500, 0.6250, 0.3750)  4 O 1.81
Cr (0.2500, 0.3750, 0.6250)  4 O 1.81
Cr (0.6250, 0.8750, 0.2500)  4 O 1.81
Cr (0.3750, 0.1250, 0.7500)  4 O 1.81
Cr (0.7500, 0.1250, 0.8750)  4 O 1.81
Cr (0.5000, 0.0000, 0.0000)  6 O 2.02
Cr (0.8750, 0.6250, 0.7500)  4 O 1.81
Cr (0.0000, 0.5000, 0.5000)  6 O 2.02
Cr (0.5000, 0.5000, 0.5000)  6 O 2.02
Cr (0.2500, 0.8750, 0.1250)  4 O 1.81
Cr (0.0000, 0.0000, 0.0000)  6 O 2.02
Cr (0.8750, 0.2500, 0.6250)  4 O 1.81
Cr (0.3750, 0.2500, 0.1250)  4 O 1.81
Cr (0.6250, 0.7500, 0.8750)  4 O 1.81
Cr (0.1250, 0.3750, 0.2500)  4 O 1.81
Cr (0.5000, 0.5000, 0.0000)  6 O 2.02
Cr (0.1250, 0.7500, 0.3750)  4 O 1.81

Values from the calculation:
**Crystal system**: cubic
**SG**: Ia-3d
**DFT total energy**: -6.074 eV per atom
**Total moment**: 12.0 μB per formula unit